# meta-GGA SCAN Ta6Os7, PBEsol geometry
# Formation enthalpy at 0 K (meV/atom): -240
# Volume (Å³ per atom): 15.97
# DOS(E_F) (states/eV per cell): 42.52
# Total magnetic moment (μB/cell): 0.000
data_Ta6Os7
_chemical_formula_sum 'Ta18 Os21'
_cell_length_a 5.1382
_cell_length_b 5.1382
_cell_length_c 27.2432
_cell_angle_alpha 90.00
_cell_angle_beta 90.00
_cell_angle_gamma 120.00
_symmetry_space_group_name_H-M 'R -3 m'
_symmetry_Int_Tables_number 166
_symmetry_space_group_name_Hall '-R 3 2"'
loop_
_atom_site_label
_atom_site_fract_x
_atom_site_fract_y
_atom_site_fract_z
Ta1 0.0000 0.0000 0.0485
Ta2 0.0000 0.0000 0.1524
Ta3 0.0000 0.0000 0.3343
Os1 0.0000 0.0000 0.5000
Os2 0.0040 0.5020 0.9105